DFT (PBE+U) results for Ba2YTlCo2O7 after structural relaxation.

Properties
* total DFT energy (no corrections): -6.34 eV/atom
* magnetization: 10.73 μB/cell
* energy relative to the lowest polymorph listed for this composition: 0.0094 eV/atom
* N(E_F): 1.8 states/eV/f.u.

The structure in CIF format:
```
data_Ba2YTlCo2O7
_chemical_formula_sum 'Ba4 Y2 Tl2 Co4 O14'
_space_group_name_H-M_alt 'P 1'
_space_group_IT_number 1
_cell_length_a 5.5560
_cell_length_b 5.5982
_cell_length_c 12.7214
_cell_angle_alpha 89.99
_cell_angle_beta 89.97
_cell_angle_gamma 89.90
loop_
_space_group_symop_operation_xyz
'x,y,z'
loop_
_atom_site_label
_atom_site_fract_x
_atom_site_fract_y
_atom_site_fract_z
Ba1 0.0000 0.0000 0.0000
Ba2 0.0006 0.0010 0.5849
Ba3 0.4995 0.5045 0.9995
Ba4 0.5021 0.5047 0.5862
Y1 0.5000 0.5036 0.2919
Y2 0.9988 0.0023 0.2930
Tl1 0.0195 0.4792 0.7927
Tl2 0.5280 0.0422 0.7930
Co1 0.9997 0.5023 0.1463
Co2 0.0010 0.5028 0.4389
Co3 0.4994 0.0031 0.1653
Co4 0.4990 0.0030 0.4187
O1 0.2523 0.2511 0.4052
O2 0.2525 0.2515 0.1801
O3 0.2530 0.7542 0.4046
O4 0.2531 0.7545 0.1805
O5 0.4389 0.4480 0.7928
O6 0.4918 0.9904 0.6261
O7 0.4919 0.9911 0.9605
O8 0.7463 0.2506 0.4053
O9 0.7471 0.2508 0.1801
O10 0.7471 0.7554 0.1807
O11 0.7467 0.7557 0.4046
O12 0.9451 0.0683 0.7928
O13 0.9985 0.5054 0.5966
O14 0.9975 0.5060 0.9886
```